ScMnSi2O, optimized geometry, DFT PBE with a Hubbard U; space-group type = No. 123; raw total energy = -5.927 eV/atom; N(E_F) = 3.54 states/eV/cell; volume = 17.6 A^3/atom
1.0
4.969 0.000 0.000
0.000 4.969 0.000
0.000 0.000 3.565
Sc Mn Si O
1 1 2 1
Direct
0.000 0.000 0.000
0.500 0.500 0.500
0.000 0.500 0.500
0.500 0.000 0.500
0.500 0.500 0.000